# GGA-PBE TbEuTh2, relaxed
# Polymorph energy (0 for the lowest one) (eV per atom): 0.0000
# Total moment (μB/cell): 7.17
# Energy of formation (kJ/mol of formula units): 58.3
data_TbEuTh2
_space_group_name_H-M_alt 'P 1'
_space_group_IT_number 1
_cell_length_a 5.1617
_cell_length_b 5.0590
_cell_length_c 5.0590
_cell_angle_alpha 90.00
_cell_angle_beta 90.00
_cell_angle_gamma 90.00
loop_
_space_group_symop_operation_xyz
'x,y,z'
loop_
_atom_site_label
_atom_site_type_symbol
_atom_site_fract_x
_atom_site_fract_y
_atom_site_fract_z
Eu1 Eu 0.5000 0.0000 0.0000
Tb1 Tb 0.5000 0.5000 0.5000
Th1 Th 0.0000 0.0000 0.5000
Th2 Th 0.0000 0.5000 0.0000

---

# GGA-PBE La2Sm3Ga4, relaxed
# Polymorph energy (0 for the lowest one) (eV per atom): 0.1251
# Total moment (μB/cell): 0.00
# Energy of formation (kJ/mol of formula units): -367.3
data_La2Sm3Ga4
_space_group_name_H-M_alt 'P 1'
_space_group_IT_number 1
_cell_length_a 7.1367
_cell_length_b 8.8316
_cell_length_c 8.7379
_cell_angle_alpha 90.00
_cell_angle_beta 114.10
_cell_angle_gamma 90.00
loop_
_space_group_symop_operation_xyz
'x,y,z'
loop_
_atom_site_label
_atom_site_type_symbol
_atom_site_fract_x
_atom_site_fract_y
_atom_site_fract_z
La1 La 0.1067 0.5720 0.2135
La2 La 0.8933 0.4280 0.7865
La3 La 0.3933 0.0720 0.7865
La4 La 0.6067 0.9280 0.2135
Sm1 Sm 0.0000 0.0000 0.0000
Sm2 Sm 0.5000 0.5000 0.0000
Sm3 Sm 0.5311 0.7500 0.5622
Sm4 Sm 0.9689 0.2500 0.4378
Sm5 Sm 0.4689 0.2500 0.4378
Sm6 Sm 0.0311 0.7500 0.5622
Ga1 Ga 0.7182 0.7500 0.9364
Ga2 Ga 0.7818 0.2500 0.0636
Ga3 Ga 0.2818 0.2500 0.0636
Ga4 Ga 0.2182 0.7500 0.9364
Ga5 Ga 0.1874 0.9661 0.3747
Ga6 Ga 0.8126 0.0339 0.6253
Ga7 Ga 0.3126 0.4661 0.6253
Ga8 Ga 0.6874 0.5339 0.3747

---

| no. | DOS at the Fermi energy (states/eV per cell) |
| --- | --- |
| 1 | 5.211 |
| 2 | 14.192 |